No. 1
TaCd3Rh: optimized geometry, PBEsol.

POSCAR file:
```
TaCd3Rh
1.0
-2.7977 -0.9192 4.2351
-1.4143 -4.5713 -1.9264
4.0964 -2.2061 2.2273
Cd Rh Ta
3 1 1
direct
0.0000 0.5000 0.0000
0.5000 0.0000 0.0000
0.0000 0.0000 0.5000
0.5000 0.5000 0.5000
0.0000 0.0000 0.0000
```

Crystal system: cubic
Theoretical density, Mg/m³: 7.5
Symmetry: Pm-3m (221)
Energy, hartree per atom: -0.109
ΔH_f (0 K), eV per atom: 1.887


No. 2
HfScCoBi2: optimized geometry, PBEsol.

POSCAR file:
```
HfScCoBi2
1.0
-3.8658 1.9734 1.7014
-1.6252 -4.5107 1.5390
2.2976 0.6830 4.4284
Co Bi Sc Hf
1 2 1 1
direct
0.0000 0.0000 0.0000
0.0000 0.5000 0.0000
0.0000 0.0000 0.5000
0.5000 0.5000 0.5000
0.5000 0.0000 0.0000
```

Crystal system: tetragonal
Theoretical density, Mg/m³: 9.8
Symmetry: P4/mmm (123)
Energy, hartree per atom: -0.235
ΔH_f (0 K), eV per atom: 0.281